Density functional theory data (PBE-GGA) for a relaxed structure of KPrSc4Se8.

Values from the calculation:
E_form (uncorrected) = -1580 meV/atom
space group = R3m, No. 160

Lattice parameters (Å, degrees): 8.503 8.503 8.503 57.17 57.17 57.17
Fractional positions:
K 0.000 0.000 0.000
Pr 0.358 0.358 0.358
Sc 0.359 0.359 0.878
Sc 0.359 0.878 0.359
Sc 0.735 0.735 0.735
Sc 0.878 0.359 0.359
Se 0.112 0.112 0.571
Se 0.112 0.571 0.112
Se 0.124 0.616 0.616
Se 0.135 0.135 0.135
Se 0.571 0.112 0.112
Se 0.605 0.605 0.605
Se 0.616 0.124 0.616
Se 0.616 0.616 0.124

Density functional theory data (PBE-GGA) for a relaxed structure of K2PrScSe4.

Values from the calculation:
E_form (uncorrected) = -1660 meV/atom
space group = P2/m, No. 10

Lattice parameters (Å, degrees): 7.284 4.206 8.048 90.00 107.52 90.00
Fractional positions:
K 0.000 0.000 0.000
K 0.500 0.500 0.000
Pr 0.000 0.500 0.500
Sc 0.500 0.000 0.500
Se 0.256 0.000 0.708
Se 0.285 0.500 0.301
Se 0.715 0.500 0.699
Se 0.744 0.000 0.292

Density functional theory data (PBE-GGA) for a relaxed structure of K4Pr3ScSe8.

Values from the calculation:
E_form (uncorrected) = -1699 meV/atom
space group = R-3m, No. 166

Lattice parameters (Å, degrees): 9.158 9.158 9.158 55.94 55.94 55.94
Fractional positions:
K 0.000 0.000 0.000
K 0.000 0.500 0.500
K 0.500 0.000 0.500
K 0.500 0.500 0.000
Pr 0.000 0.000 0.500
Pr 0.000 0.500 0.000
Pr 0.500 0.000 0.000
Sc 0.500 0.500 0.500
Se 0.238 0.238 0.238
Se 0.254 0.725 0.725
Se 0.275 0.275 0.746
Se 0.275 0.746 0.275
Se 0.725 0.254 0.725
Se 0.725 0.725 0.254
Se 0.746 0.275 0.275
Se 0.762 0.762 0.762

Density functional theory data (PBE-GGA) for a relaxed structure of K3Pr2ScTe6.

Values from the calculation:
E_form (uncorrected) = -1352 meV/atom
space group = C2/m, No. 12

Lattice parameters (Å, degrees): 7.870 7.870 8.651 98.76 98.76 120.03
Fractional positions:
K 0.000 0.000 0.000
K 0.328 0.672 0.000
K 0.672 0.328 0.000
Pr 0.166 0.834 0.500
Pr 0.834 0.166 0.500
Sc 0.500 0.500 0.500
Te 0.117 0.431 0.291
Te 0.257 0.257 0.710
Te 0.431 0.117 0.291
Te 0.569 0.883 0.709
Te 0.743 0.743 0.290
Te 0.883 0.569 0.709

Density functional theory data (PBE-GGA) for a relaxed structure of K3Pr3ScTe8.

Values from the calculation:
E_form (uncorrected) = -1285 meV/atom
space group = R-3m, No. 166

Lattice parameters (Å, degrees): 10.000 10.000 10.000 53.36 53.36 53.36
Fractional positions:
K 0.000 0.500 0.500
K 0.500 0.000 0.500
K 0.500 0.500 0.000
Pr 0.000 0.000 0.500
Pr 0.000 0.500 0.000
Pr 0.500 0.000 0.000
Sc 0.500 0.500 0.500
Te 0.239 0.239 0.239
Te 0.256 0.724 0.724
Te 0.276 0.276 0.744
Te 0.276 0.744 0.276
Te 0.724 0.256 0.724
Te 0.724 0.724 0.256
Te 0.744 0.276 0.276
Te 0.761 0.761 0.761

Density functional theory data (PBE-GGA) for a relaxed structure of K4Pr3ScTe8.

Values from the calculation:
E_form (uncorrected) = -1365 meV/atom
space group = R-3m, No. 166

Lattice parameters (Å, degrees): 9.797 9.797 9.797 55.61 55.61 55.61
Fractional positions:
K 0.000 0.000 0.000
K 0.000 0.500 0.500
K 0.500 0.000 0.500
K 0.500 0.500 0.000
Pr 0.000 0.000 0.500
Pr 0.000 0.500 0.000
Pr 0.500 0.000 0.000
Sc 0.500 0.500 0.500
Te 0.240 0.240 0.240
Te 0.254 0.727 0.727
Te 0.273 0.273 0.746
Te 0.273 0.746 0.273
Te 0.727 0.254 0.727
Te 0.727 0.727 0.254
Te 0.746 0.273 0.273
Te 0.760 0.760 0.760

Density functional theory data (PBE-GGA) for a relaxed structure of KPr5Se8.

Values from the calculation:
E_form (uncorrected) = -1846 meV/atom
space group = I-4, No. 82

Lattice parameters (Å, degrees): 7.870 7.870 7.870 109.29 109.29 109.84
Fractional positions:
K 0.000 0.000 0.000
Pr 0.119 0.242 0.616
Pr 0.250 0.750 0.500
Pr 0.498 0.881 0.123
Pr 0.626 0.502 0.384
Pr 0.758 0.374 0.877
Se 0.030 0.615 0.745
Se 0.236 0.491 0.106
Se 0.385 0.130 0.414
Se 0.385 0.130 0.894
Se 0.509 0.615 0.745
Se 0.716 0.970 0.586
Se 0.870 0.284 0.255
Se 0.870 0.764 0.255

Density functional theory data (PBE-GGA) for a relaxed structure of KPr3Se4.

Values from the calculation:
E_form (uncorrected) = -1789 meV/atom
space group = P6_3/mmc, No. 194

Lattice parameters (Å, degrees): 4.317 4.317 29.401 90.00 90.00 120.00
Fractional positions:
K 0.333 0.667 0.250
K 0.667 0.333 0.750
Pr 0.000 0.000 0.000
Pr 0.000 0.000 0.500
Pr 0.333 0.667 0.617
Pr 0.333 0.667 0.883
Pr 0.667 0.333 0.117
Pr 0.667 0.333 0.383
Se 0.000 0.000 0.174
Se 0.000 0.000 0.326
Se 0.000 0.000 0.674
Se 0.000 0.000 0.826
Se 0.333 0.667 0.059
Se 0.333 0.667 0.441
Se 0.667 0.333 0.559
Se 0.667 0.333 0.941

Which formula does entry 5 have?
K3Pr3ScTe8

Repeat the first record exactly.
Density functional theory data (PBE-GGA) for a relaxed structure of KPrSc4Se8.

Values from the calculation:
E_form (uncorrected) = -1580 meV/atom
space group = R3m, No. 160

Lattice parameters (Å, degrees): 8.503 8.503 8.503 57.17 57.17 57.17
Fractional positions:
K 0.000 0.000 0.000
Pr 0.358 0.358 0.358
Sc 0.359 0.359 0.878
Sc 0.359 0.878 0.359
Sc 0.735 0.735 0.735
Sc 0.878 0.359 0.359
Se 0.112 0.112 0.571
Se 0.112 0.571 0.112
Se 0.124 0.616 0.616
Se 0.135 0.135 0.135
Se 0.571 0.112 0.112
Se 0.605 0.605 0.605
Se 0.616 0.124 0.616
Se 0.616 0.616 0.124